Entry 1:
! PaFeSb, relaxed, DFT GGA-PBE; values from VASP
! - mass density (g/cm³) = 11.37
! - space-group type = I4mm
! - crystal system = tetragonal
! - formation energy without anion corrections (eV per atom) = -0.14
&SYSTEM
  ibrav = 0, nat = 3, ntyp = 3
/
ATOMIC_SPECIES
Sb 121.76 Sb.upf
Pa 231.04 Pa.upf
Fe 55.84 Fe.upf
CELL_PARAMETERS angstrom
3.259 0.000 0.000
0.000 3.259 0.000
-1.629 -1.629 5.619
ATOMIC_POSITIONS crystal
Sb 0.307 0.307 0.615
Pa 0.024 0.024 0.048
Fe 0.669 0.669 0.338


Entry 2:
! Pa2FeSb2, relaxed, DFT GGA-PBE; values from VASP
! - mass density (g/cm³) = 10.87
! - space-group type = I4_1/amd
! - crystal system = tetragonal
! - formation energy without anion corrections (eV per atom) = -0.40
&SYSTEM
  ibrav = 0, nat = 10, ntyp = 3
/
ATOMIC_SPECIES
Pa 231.04 Pa.upf
Fe 55.84 Fe.upf
Sb 121.76 Sb.upf
CELL_PARAMETERS angstrom
4.393 0.000 -0.704
-0.113 4.392 -0.704
-0.304 -0.312 12.156
ATOMIC_POSITIONS crystal
Pa 0.820 0.820 0.640
Pa 0.070 0.570 0.140
Pa 0.430 0.930 0.860
Pa 0.180 0.180 0.360
Fe 0.500 0.500 0.000
Fe 0.750 0.250 0.500
Sb 0.934 0.434 0.868
Sb 0.684 0.684 0.368
Sb 0.316 0.316 0.632
Sb 0.566 0.066 0.132


Entry 3:
! Pa5Fe3Sb12, relaxed, DFT GGA-PBE; values from VASP
! - mass density (g/cm³) = 7.36
! - space-group type = Ia-3d
! - crystal system = cubic
! - formation energy without anion corrections (eV per atom) = 0.39
&SYSTEM
  ibrav = 0, nat = 80, ntyp = 3
/
ATOMIC_SPECIES
Fe 55.84 Fe.upf
Pa 231.04 Pa.upf
Sb 121.76 Sb.upf
CELL_PARAMETERS angstrom
14.836 0.000 0.000
-4.945 13.988 0.000
-4.945 -6.994 12.114
ATOMIC_POSITIONS crystal
Fe 0.750 0.375 0.125
Fe 0.875 0.750 0.125
Fe 0.375 0.750 0.625
Fe 0.250 0.125 0.375
Fe 0.875 0.125 0.250
Fe 0.375 0.625 0.250
Fe 0.625 0.375 0.750
Fe 0.125 0.875 0.750
Fe 0.750 0.875 0.625
Fe 0.625 0.250 0.375
Fe 0.125 0.250 0.875
Fe 0.250 0.625 0.875
Pa 0.125 0.375 0.250
Pa 0.000 0.500 0.000
Pa 0.000 0.000 0.000
Pa 0.375 0.250 0.125
Pa 0.500 0.000 0.500
Pa 0.500 0.500 0.000
Pa 0.125 0.750 0.375
Pa 0.750 0.125 0.875
Pa 0.750 0.625 0.375
Pa 0.375 0.125 0.750
Pa 0.625 0.875 0.250
Pa 0.500 0.500 0.500
Pa 0.500 0.000 0.000
Pa 0.000 0.000 0.500
Pa 0.250 0.375 0.625
Pa 0.250 0.875 0.125
Pa 0.000 0.500 0.500
Pa 0.875 0.250 0.625
Pa 0.625 0.750 0.875
Pa 0.875 0.625 0.750
Sb 0.749 0.122 0.075
Sb 0.326 0.575 0.453
Sb 0.925 0.378 0.251
Sb 0.575 0.249 0.122
Sb 0.626 0.749 0.674
Sb 0.925 0.547 0.174
Sb 0.326 0.751 0.374
Sb 0.047 0.874 0.122
Sb 0.547 0.925 0.674
Sb 0.749 0.626 0.174
Sb 0.751 0.425 0.378
Sb 0.826 0.953 0.075
Sb 0.122 0.749 0.575
Sb 0.378 0.453 0.126
Sb 0.126 0.953 0.378
Sb 0.374 0.122 0.547
Sb 0.126 0.174 0.249
Sb 0.425 0.674 0.047
Sb 0.826 0.874 0.251
Sb 0.122 0.374 0.047
Sb 0.378 0.925 0.751
Sb 0.547 0.622 0.374
Sb 0.953 0.826 0.575
Sb 0.751 0.326 0.874
Sb 0.453 0.378 0.626
Sb 0.047 0.174 0.425
Sb 0.249 0.674 0.126
Sb 0.174 0.126 0.749
Sb 0.622 0.075 0.249
Sb 0.878 0.626 0.953
Sb 0.575 0.326 0.953
Sb 0.626 0.878 0.453
Sb 0.874 0.826 0.751
Sb 0.874 0.047 0.622
Sb 0.878 0.251 0.425
Sb 0.174 0.047 0.925
Sb 0.622 0.547 0.874
Sb 0.453 0.075 0.326
Sb 0.251 0.374 0.826
Sb 0.249 0.575 0.622
Sb 0.953 0.126 0.878
Sb 0.674 0.249 0.626
Sb 0.425 0.751 0.878
Sb 0.075 0.453 0.826
Sb 0.374 0.251 0.326
Sb 0.075 0.622 0.749
Sb 0.674 0.425 0.547
Sb 0.251 0.878 0.925


Entry 4:
! PaFeSb, relaxed, DFT GGA-PBE; values from VASP
! - mass density (g/cm³) = 10.92
! - space-group type = P3m1
! - crystal system = trigonal
! - formation energy without anion corrections (eV per atom) = -0.29
&SYSTEM
  ibrav = 0, nat = 3, ntyp = 3
/
ATOMIC_SPECIES
Sb 121.76 Sb.upf
Pa 231.04 Pa.upf
Fe 55.84 Fe.upf
CELL_PARAMETERS angstrom
-2.314 -0.357 -2.852
0.064 -4.381 0.497
-3.006 2.417 2.136
ATOMIC_POSITIONS crystal
Sb 0.168 0.000 0.000
Pa 0.667 0.667 0.333
Fe 0.165 0.333 0.667


Entry 5:
! PaFeSb, relaxed, DFT GGA-PBE; values from VASP
! - mass density (g/cm³) = 10.43
! - space-group type = Pnma
! - crystal system = orthorhombic
! - formation energy without anion corrections (eV per atom) = -0.51
&SYSTEM
  ibrav = 0, nat = 12, ntyp = 3
/
ATOMIC_SPECIES
Pa 231.04 Pa.upf
Fe 55.84 Fe.upf
Sb 121.76 Sb.upf
CELL_PARAMETERS angstrom
4.737 0.000 0.000
0.000 6.868 0.000
0.000 0.000 7.995
ATOMIC_POSITIONS crystal
Pa 0.250 0.700 0.496
Pa 0.750 0.300 0.504
Pa 0.250 0.800 0.996
Pa 0.750 0.200 0.004
Fe 0.250 0.004 0.797
Fe 0.750 0.996 0.203
Fe 0.250 0.496 0.297
Fe 0.750 0.504 0.703
Sb 0.250 0.112 0.304
Sb 0.750 0.888 0.696
Sb 0.250 0.388 0.804
Sb 0.750 0.612 0.196


Entry 6:
! PaFeTcSb, relaxed, DFT GGA-PBE; values from VASP
! - mass density (g/cm³) = 11.54
! - space-group type = F-43m
! - crystal system = cubic
! - formation energy without anion corrections (eV per atom) = -0.06
&SYSTEM
  ibrav = 0, nat = 4, ntyp = 4
/
ATOMIC_SPECIES
Sb 121.76 Sb.upf
Pa 231.04 Pa.upf
Tc 98.00 Tc.upf
Fe 55.84 Fe.upf
CELL_PARAMETERS angstrom
4.689 0.000 0.000
2.345 4.061 0.000
2.345 1.354 3.829
ATOMIC_POSITIONS crystal
Sb 0.750 0.750 0.750
Pa 0.250 0.250 0.250
Tc 0.500 0.500 0.500
Fe 0.000 0.000 0.000


Entry 7:
! PaVFeSb, relaxed, DFT GGA-PBE; values from VASP
! - mass density (g/cm³) = 10.94
! - space-group type = F-43m
! - crystal system = cubic
! - formation energy without anion corrections (eV per atom) = 0.02
&SYSTEM
  ibrav = 0, nat = 4, ntyp = 4
/
ATOMIC_SPECIES
Sb 121.76 Sb.upf
Pa 231.04 Pa.upf
Fe 55.84 Fe.upf
V 50.94 V.upf
CELL_PARAMETERS angstrom
4.621 0.000 0.000
2.311 4.002 0.000
2.311 1.334 3.773
ATOMIC_POSITIONS crystal
Sb 0.250 0.250 0.250
Pa 0.750 0.750 0.750
Fe 0.500 0.500 0.500
V 0.000 0.000 0.000


Entry 8:
! ScPaFe4, relaxed, DFT GGA-PBE; values from VASP
! - mass density (g/cm³) = 9.34
! - space-group type = F-43m
! - crystal system = cubic
! - formation energy (meV per atom) = -179
&SYSTEM
  ibrav = 0, nat = 6, ntyp = 3
/
ATOMIC_SPECIES
Sc 44.96 Sc.upf
Pa 231.04 Pa.upf
Fe 55.84 Fe.upf
CELL_PARAMETERS angstrom
-2.642 -4.252 0.129
0.995 -3.666 -3.262
2.152 -4.238 1.576
ATOMIC_POSITIONS crystal
Sc 0.000 0.000 0.000
Pa 0.250 0.250 0.250
Fe 0.625 0.625 0.124
Fe 0.625 0.124 0.625
Fe 0.625 0.625 0.625
Fe 0.124 0.625 0.625


What are the VASP energy values for these records? In order: -7.50; -7.54; -5.73; -7.65; -7.88; -8.17; -7.78; -8.46 eV/atom.